A relaxed structure of Sm3InN. Source: Alexandria, functional GGA-PBE.

Lattice parameters (Å, degrees): 4.9607 4.9607 4.9607 90.00 90.00 90.00
Positions (direct):
Sm 0.0000 0.5000 0.5000
Sm 0.5000 0.0000 0.5000
In 0.0000 0.0000 0.0000
Sm 0.5000 0.5000 0.0000
N 0.5000 0.5000 0.5000

## Properties
VASP energy   -5.96 eV per atom
Crystal system   cubic
Formation energy without anion corrections   -0.914 eV/atom

=====

A relaxed structure of Sm4In2N. Source: Alexandria, functional GGA-PBE.

Lattice parameters (Å, degrees): 3.4695 5.1633 12.1313 102.29 90.00 90.00
Positions (direct):
In 0.5000 0.1611 0.3221
Sm 0.5000 0.4323 0.8646
Sm 0.0000 0.7027 0.4054
N 0.0000 0.5000 0.0000
Sm 0.0000 0.2973 0.5946
Sm 0.5000 0.5677 0.1354
In 0.5000 0.8389 0.6779

## Properties
Energy above the most stable polymorph in this dataset   178 kJ/mol of formula units
VASP energy   -5.08 eV per atom
Crystal system   orthorhombic
Formation energy without anion corrections   -0.414 eV/atom

=====

A relaxed structure of Sm4In2N. Source: Alexandria, functional GGA-PBE.

Lattice parameters (Å, degrees): 4.8936 4.8936 8.7620 73.78 73.78 90.00
Positions (direct):
In 0.3632 0.3632 0.2737
Sm 0.0000 0.5000 0.0000
Sm 0.8378 0.8378 0.3244
N 0.0000 0.0000 0.0000
Sm 0.1622 0.1622 0.6756
Sm 0.5000 0.0000 0.0000
In 0.6368 0.6368 0.7263

## Properties
Energy above the most stable polymorph in this dataset   0 kJ/mol of formula units
VASP energy   -5.35 eV per atom
Crystal system   tetragonal
Formation energy without anion corrections   -0.677 eV/atom